{
  "formula": "CuPt",
  "functional": "PBE-GGA",
  "state": "optimized geometry",
  "lattice_angstrom": [[-1.742, 4.880, -4.665], [-4.964, -3.265, 3.648], [0.266, 3.049, 3.091]],
  "species": ["Pt", "Pt", "Pt", "Pt", "Pt", "Pt", "Cu", "Cu", "Cu", "Cu", "Cu", "Cu"],
  "fractional_positions": [[0.380, 0.910, 0.250], [0.620, 0.090, 0.750], [0.530, 0.620, 0.250], [0.470, 0.380, 0.750], [0.090, 0.470, 0.250], [0.910, 0.530, 0.750], [0.814, 0.049, 0.250], [0.049, 0.235, 0.750], [0.235, 0.186, 0.250], [0.951, 0.765, 0.250], [0.765, 0.814, 0.750], [0.186, 0.951, 0.750]],
  "dft_energy_ha_per_atom": -0.183,
  "ef_mev_per_atom": 96
}